Compound: LaRuIN2
Source: Alexandria via LeMat-Bulk
Functional: PBE
Structure: relaxed

POSCAR file:
```
LaRuIN2
1.0
4.284 0.000 0.000
0.000 4.284 0.000
0.000 0.000 6.774
La Ru I N
1 1 1 2
direct
0.000 0.000 0.000 La
0.500 0.500 0.500 Ru
0.000 0.000 0.500 I
0.000 0.500 0.000 N
0.500 0.000 0.000 N
```

Values from the calculation:
* relative energy among the computed polymorphs: 806.0 meV/atom
* M_tot: 3.382 μB/f.u.
* DOS(E_F): 8.43 states/eV/f.u.
* formation energy (no corrections): 122 kJ/mol of atoms